Entry from OQMD: a relaxed ZrRe crystal (PBE).

Values from the calculation:
Magnetization: 0.00 Bohr magnetons per cell

a b c (Å): 5.7214 8.4174 4.5610
angles (deg): 90.00 90.00 90.00
Element x y z (fractional)
Re  0.0595  0.0227  0.0000
Re  0.5595  0.1440  0.0000
Re  0.7861  0.2465  0.5000
Re  0.7886  0.5409  0.5000
Re  0.2886  0.6258  0.5000
Re  0.2861  0.9202  0.5000
Zr  0.0333  0.3478  0.0000
Zr  0.5313  0.4736  0.0000
Zr  0.0313  0.6931  0.0000
Zr  0.5333  0.8189  0.0000
Zr  0.3012  0.2489  0.5000
Zr  0.8012  0.9178  0.5000



Entry from OQMD: a relaxed ZrRe crystal (PBE).

Values from the calculation:
Magnetization: 0.00 Bohr magnetons per cell

a b c (Å): 5.4119 7.1305 4.7053
angles (deg): 90.00 90.00 78.94
Element x y z (fractional)
Re  0.7788  0.3702  0.0000
Re  0.1906  0.5454  0.0000
Re  0.5701  0.7374  0.0000
Re  0.4778  0.4587  0.5000
Re  0.3025  0.8351  0.5000
Zr  0.3912  0.1572  0.0000
Zr  0.9859  0.9376  0.0000
Zr  0.6663  0.0584  0.5000
Zr  0.0812  0.2511  0.5000
Zr  0.8889  0.6488  0.5000



Entry from OQMD: a relaxed Zr2Re crystal (PBE).

Values from the calculation:
Magnetization: 0.00 Bohr magnetons per cell

a b c (Å): 13.8534 7.2985 4.8392
angles (deg): 90.00 90.00 73.15
Element x y z (fractional)
Re  0.7492  0.1772  0.0000
Re  0.3234  0.2977  0.0000
Re  0.8303  0.7986  0.0000
Re  0.9854  0.9444  0.0000
Re  0.8711  0.0633  0.5000
Re  0.4452  0.1840  0.5000
Re  0.2091  0.4166  0.5000
Re  0.3641  0.5625  0.5000
Zr  0.5807  0.0469  0.0000
Zr  0.1599  0.1267  0.0000
Zr  0.9059  0.3486  0.0000
Zr  0.4789  0.4636  0.0000
Zr  0.0776  0.5469  0.0000
Zr  0.6704  0.6058  0.0000
Zr  0.2531  0.6892  0.0000
Zr  0.4034  0.9164  0.0000
Zr  0.2885  0.0124  0.5000
Zr  0.0345  0.2344  0.5000
Zr  0.6138  0.3143  0.5000
Zr  0.7909  0.4448  0.5000
Zr  0.9414  0.6719  0.5000
Zr  0.5241  0.7553  0.5000
Zr  0.1169  0.8141  0.5000
Zr  0.7156  0.8975  0.5000



Entry from OQMD: a relaxed ZrRe crystal (PBE).

Values from the calculation:
Magnetization: 0.00 Bohr magnetons per cell

a b c (Å): 8.7084 5.7436 4.5971
angles (deg): 90.00 90.00 110.39
Element x y z (fractional)
Re  0.6714  0.2301  0.0000
Re  0.3643  0.4136  0.0000
Re  0.3745  0.9091  0.0000
Re  0.5246  0.3086  0.5000
Re  0.2175  0.4922  0.5000
Re  0.5144  0.8132  0.5000
Zr  0.0476  0.0871  0.0000
Zr  0.0379  0.5644  0.0000
Zr  0.6753  0.7314  0.0000
Zr  0.8509  0.1578  0.5000
Zr  0.8412  0.6351  0.5000
Zr  0.2136  0.9909  0.5000



One value per record, in order, for E_tot: -125.5; -105.2; -236.4; -125.4 eV per cell.